(1)
Entry from the Alexandria database: a relaxed AcTbTlNi crystal (GGA-PBE).

Output
The calculation puts the energy relative to the elements at -0.1276 eV/atom. The calculation puts the total magnetization at 0.00 μB per cell. As for the total energy: -17.397 eV/cell.

Unit cell a=5.377 b=5.377 c=5.377 alpha=60.00 beta=60.00 gamma=60.00
Atoms (fractional coordinates):
Tl (0.750, 0.750, 0.750)
Tb (0.000, 0.000, 0.000)
Ac (0.500, 0.500, 0.500)
Ni (0.250, 0.250, 0.250)

***

(2)
Entry from the Alexandria database: a relaxed YTc3Ge3 crystal (GGA-PBE).

Output
The calculation puts the energy relative to the elements at -0.2619 eV/atom. The calculation puts the total magnetization at 0.00 μB per cell. As for the total energy: -106.495 eV/cell.

Unit cell a=4.416 b=8.216 c=8.216 alpha=120.00 beta=90.00 gamma=90.00
Atoms (fractional coordinates):
Tc (0.750, 0.212, 0.160)
Tc (0.750, 0.840, 0.053)
Tc (0.250, 0.160, 0.947)
Tc (0.250, 0.053, 0.212)
Tc (0.750, 0.947, 0.788)
Tc (0.250, 0.788, 0.840)
Y (0.250, 0.333, 0.667)
Y (0.750, 0.667, 0.333)
Ge (0.250, 0.403, 0.314)
Ge (0.750, 0.597, 0.686)
Ge (0.750, 0.089, 0.403)
Ge (0.250, 0.686, 0.089)
Ge (0.750, 0.314, 0.911)
Ge (0.250, 0.911, 0.597)

***

(3)
Entry from the Alexandria database: a relaxed La2ErThP4 crystal (GGA-PBE).

Output
The calculation puts the energy relative to the elements at -1.5919 eV/atom. The calculation puts the total magnetization at 0.00 μB per cell. As for the total energy: -56.212 eV/cell.

Unit cell a=4.165 b=7.183 c=7.241 alpha=109.39 beta=90.00 gamma=90.00
Atoms (fractional coordinates):
P (0.000, 0.750, 0.238)
P (0.000, 0.250, 0.762)
P (0.500, 0.242, 0.236)
P (0.500, 0.758, 0.764)
La (0.000, 0.500, 0.500)
La (0.500, 0.000, 0.500)
Er (0.000, 0.000, 0.000)
Th (0.500, 0.500, 0.000)

***

(4)
Entry from the Alexandria database: a relaxed LaSn3Pt crystal (GGA-PBE).

Output
The calculation puts the energy relative to the elements at -0.2004 eV/atom. The calculation puts the total magnetization at 0.00 μB per cell. As for the total energy: -23.979 eV/cell.

Unit cell a=5.284 b=5.284 c=5.284 alpha=90.00 beta=90.00 gamma=90.00
Atoms (fractional coordinates):
Pt (0.000, 0.000, 0.000)
Sn (0.500, 0.000, 0.000)
Sn (0.000, 0.000, 0.500)
Sn (0.000, 0.500, 0.000)
La (0.500, 0.500, 0.500)

***

(5)
Entry from the Alexandria database: a relaxed TcAsNF2 crystal (GGA-PBE).

Output
Its uncorrected formation energy is 0.260 eV per atom. The calculation puts the total magnetization at 4.67 μB per cell. As for the total energy: -25.785 eV/cell.

Unit cell a=4.227 b=4.227 c=4.045 alpha=90.00 beta=90.00 gamma=90.00
Last column: magnetic moment on the atom in μB.
Atoms (fractional coordinates):
Tc (0.500, 0.500, 0.500)  3.94
N (0.000, 0.000, 0.500)  0.10
As (0.000, 0.000, 0.000)  -0.01
F (0.500, 0.000, 0.000)  0.05
F (0.000, 0.500, 0.000)  0.05

***

(6)
Entry from the Alexandria database: a relaxed TbEuAl2 crystal (GGA-PBE).

Output
The calculation puts the energy relative to the elements at -0.3109 eV/atom. The calculation puts the total magnetization at 7.12 μB per cell. As for the total energy: -23.633 eV/cell.

Unit cell a=3.700 b=3.700 c=7.393 alpha=90.00 beta=90.00 gamma=90.00
Last column: magnetic moment on the atom in μB.
Atoms (fractional coordinates):
Al (0.000, 0.000, 0.230)  -0.01
Al (0.000, 0.000, 0.770)  -0.01
Eu (0.500, 0.500, 0.500)  6.83
Tb (0.500, 0.500, 0.000)  0.01

***

(7)
Entry from the Alexandria database: a relaxed FePdPb2 crystal (GGA-PBE).

Output
The calculation puts the energy relative to the elements at 0.4412 eV/atom. The calculation puts the total magnetization at 5.46 μB per cell. As for the total energy: -38.615 eV/cell.

Unit cell a=4.500 b=4.500 c=9.647 alpha=76.51 beta=76.51 gamma=90.00
Last column: magnetic moment on the atom in μB.
Atoms (fractional coordinates):
Pd (0.750, 0.250, 0.500)  0.00
Pd (0.000, 0.000, 0.000)  0.00
Pb (0.375, 0.380, 0.750)  0.04
Pb (0.620, 0.125, 0.250)  0.05
Pb (0.130, 0.625, 0.250)  0.05
Pb (0.875, 0.870, 0.750)  0.05
Fe (0.250, 0.750, 0.500)  -2.82
Fe (0.500, 0.500, 0.000)  -2.82

***

(8)
Entry from the Alexandria database: a relaxed La2Cu2P crystal (GGA-PBE).

Output
The calculation puts the energy relative to the elements at -0.3043 eV/atom. The calculation puts the total magnetization at 0.00 μB per cell. As for the total energy: -24.979 eV/cell.

Unit cell a=5.758 b=5.758 c=5.313 alpha=57.19 beta=57.19 gamma=90.00
Atoms (fractional coordinates):
La (0.250, 0.750, 0.500)
La (0.750, 0.250, 0.500)
P (0.000, 0.000, 0.000)
Cu (0.336, 0.336, 0.328)
Cu (0.664, 0.664, 0.672)

***

| no. | DOS(E_F) (states/eV/f.u.) |
| --- | --- |
| 1 | 4.49 |
| 2 | 3.34 |
| 3 | 1.76 |
| 4 | 5.49 |
| 5 | 1.87 |
| 6 | 6.09 |
| 7 | 4.11 |
| 8 | 5.95 |